Entry 1:
First-principles (PBE-GGA) data for crystalline LiZr2Br at its relaxed geometry, as listed in Alexandria via LeMat-Bulk.

Output
The formation energy (no corrections) comes out at -317 meV/atom. As for the volume: 180.8 Å³ per cell.

Cell: 4.5295 4.5765 8.7197 Å, 90.00 90.00 90.00°
Last column: nearest neighbours and their distance in Å.
Space group Cmm2 (No. 35)
One atom of each set of equivalent atoms:
Li  0.0000  0.0000  0.0000 x2  4 Br 2.82-2.83
Zr  0.0000  0.0000  0.5469 x2  8 Zr 3.09-3.22, 4 Br 3.21-3.23
Zr  0.0000  0.5000  0.3056 x2  8 Zr 3.09-3.22
Br  0.0000  0.5000  0.8082 x2  4 Li 2.82-2.83



Entry 2:
First-principles (PBE-GGA) data for crystalline UVS at its relaxed geometry, as listed in Alexandria via LeMat-Bulk.

Output
The formation energy (no corrections) comes out at -126 meV/atom. As for the volume: 108.1 Å³ per cell.

Cell: 3.0107 3.0107 11.9249 Å, 90.00 90.00 90.00°
Last column: nearest neighbours and their distance in Å.
Space group I4mm (No. 107)
One atom of each set of equivalent atoms:
U  0.0000  0.0000  0.0000 x2  1 V 2.21
V  0.0000  0.0000  0.8146 x2  1 U 2.21, 4 S 2.37
S  0.0000  0.0000  0.2269 x2  4 V 2.37



Entry 3:
First-principles (PBE-GGA) data for crystalline Pr5Dy2Tl5 at its relaxed geometry, as listed in Alexandria via LeMat-Bulk.

Output
As for the volume: 776.5 Å³ per cell. As for the formation enthalpy at 0 K: -0.221 eV/atom.

Cell: 12.2927 5.0060 13.9545 Å, 90.00 115.28 90.00°
Last column: nearest neighbours and their distance in Å.
Space group C2/m (No. 12)
One atom of each set of equivalent atoms:
Pr  0.0000  0.0000  0.0000 x2  6 Tl 3.45-3.63
Pr  0.1632  0.0000  0.5233 x4  3 Tl 3.14-3.46
Pr  0.2054  0.0000  0.8036 x4  5 Tl 3.20-3.38
Dy  0.0342  0.5000  0.2899 x4  4 Tl 3.09-3.14
Tl  0.0000  0.5000  0.5000 x2  2 Dy 3.13, 4 Pr 3.14
Tl  0.1561  0.5000  0.9429 x4  1 Dy 3.09, 5 Pr 3.20-3.45, 2 Tl 3.32
Tl  0.1850  0.0000  0.2839 x4  2 Dy 3.14, 3 Pr 3.31-3.46



Entry 4:
First-principles (PBE-GGA) data for crystalline PuMg2Ni at its relaxed geometry, as listed in Alexandria via LeMat-Bulk.

Output
As for the volume: 77.2 Å³ per cell. As for the formation enthalpy at 0 K: -0.008 eV/atom.

Cell: 3.0232 3.0232 8.4523 Å, 90.00 90.00 90.00°
Last column: nearest neighbours and their distance in Å.
Space group P4/mmm (No. 123)
One atom of each set of equivalent atoms:
Pu  0.0000  0.0000  0.0000 x1  4 Pu 3.02
Mg  0.5000  0.5000  0.3140 x2  4 Ni 2.65
Ni  0.0000  0.0000  0.5000 x1  8 Mg 2.65



Entry 5:
First-principles (PBE-GGA) data for crystalline HfAg2PdRh at its relaxed geometry, as listed in Alexandria via LeMat-Bulk.

Output
As for the volume: 117.3 Å³ per cell. As for the formation enthalpy at 0 K: 0.703 eV/atom.

Cell: 5.0066 5.0066 4.6781 Å, 90.00 90.00 90.00°
Last column: nearest neighbours and their distance in Å.
Space group P4/mmm (No. 123)
One atom of each set of equivalent atoms:
Hf  0.0000  0.0000  0.0000 x1  2 Rh 2.34
Ag  0.0000  0.5000  0.5000 x2  2 Rh 2.50
Pd  0.5000  0.5000  0.0000 x1  8 Ag 3.43, 4 Hf 3.54
Rh  0.0000  0.0000  0.5000 x1  2 Hf 2.34, 4 Ag 2.50



Entry 6:
First-principles (PBE-GGA) data for crystalline La6Pm12Er at its relaxed geometry, as listed in Alexandria via LeMat-Bulk.

Output
As for the volume: 2064.8 Å³ per cell. As for the formation enthalpy at 0 K: 0.194 eV/atom.

Cell: 13.6666 13.6666 12.7653 Å, 90.00 90.00 120.00°
Last column: nearest neighbours and their distance in Å.
Space group R-3m (No. 166, hexagonal axes)
One atom of each set of equivalent atoms:
La  0.0447  0.5224  0.1135 x18  1 La 3.09
Pm  0.0000  0.2556  0.0000 x18  6 Pm 3.46-3.60, 4 La 3.61-3.68
Pm  0.0907  0.1814  0.7630 x18  6 Pm 3.46-3.72
Er  0.0000  0.0000  0.5000 x3  6 La 3.48



Entry 7:
First-principles (PBE-GGA) data for crystalline GdYFeCo at its relaxed geometry, as listed in Alexandria via LeMat-Bulk.

Output
As for the volume: 310.6 Å³ per cell. As for the formation enthalpy at 0 K: 0.063 eV/atom.

Cell: 6.7725 6.7725 6.7725 Å, 90.00 90.00 90.00°
Last column: nearest neighbours and their distance in Å.
Space group F-43m (No. 216)
One atom of each set of equivalent atoms:
Gd  0.0000  0.0000  0.0000 x4  4 Co 2.93, 4 Fe 2.93
Y  0.0000  0.0000  0.5000 x4  4 Fe 2.93, 4 Co 2.93
Fe  0.2500  0.2500  0.7500 x4  4 Gd 2.93, 4 Y 2.93
Co  0.2500  0.2500  0.2500 x4  4 Gd 2.93, 4 Y 2.93



Entry 8:
First-principles (PBE-GGA) data for crystalline Ac5In5Hg2 at its relaxed geometry, as listed in Alexandria via LeMat-Bulk.

Output
As for the volume: 783.1 Å³ per cell. As for the formation enthalpy at 0 K: -0.423 eV/atom.

Cell: 17.3848 5.2067 11.0387 Å, 90.00 128.40 90.00°
Last column: nearest neighbours and their distance in Å.
Space group C2/m (No. 12)
One atom of each set of equivalent atoms:
Ac  0.0000  0.0000  0.0000 x2  4 Hg 3.44, 6 In 3.52-3.55, 2 Ac 3.81
Ac  0.1234  0.0000  0.4305 x4  3 Hg 3.35-3.67, 7 In 3.62-3.74
Ac  0.1698  0.0000  0.8350 x4  4 In 3.40-3.41, 1 Hg 3.56
In  0.0000  0.5000  0.5000 x2  4 In 3.27
In  0.0424  0.5000  0.8328 x4  1 Hg 3.02, 1 In 3.27
In  0.2400  0.5000  0.7253 x4  2 Hg 3.06, 1 In 3.27, 2 Ac 3.40
Hg  0.1520  0.5000  0.2267 x4  3 In 3.02-3.06, 1 Ac 3.35



Entry 9:
First-principles (PBE-GGA) data for crystalline Li2NpHg2O6 at its relaxed geometry, as listed in Alexandria via LeMat-Bulk.

Output
The formation energy (no corrections) comes out at -1610 meV/atom. As for the volume: 295.9 Å³ per cell.

Cell: 5.7071 9.1898 5.8285 Å, 90.00 104.57 90.00°
Last column: nearest neighbours and their distance in Å.
Space group C2/m (No. 12)
One atom of each set of equivalent atoms:
Li  0.0000  0.1605  0.0000 x4  6 O 2.16-2.24
Np  0.0000  0.5000  0.0000 x2  6 O 2.03-2.21
Hg  0.0000  0.1797  0.5000 x4  4 O 2.29-2.32
O  0.1066  0.3402  0.8087 x8  1 Np 2.03, 2 Li 2.16-2.24
O  0.1213  0.0000  0.7848 x4  2 Li 2.16, 1 Np 2.21, 2 Hg 2.32



Entry 10:
First-principles (PBE-GGA) data for crystalline Rb2ZrNbRe at its relaxed geometry, as listed in Alexandria via LeMat-Bulk.

Output
As for the volume: 208.5 Å³ per cell. As for the formation enthalpy at 0 K: 2.153 eV/atom.

Cell: 6.7224 6.7224 4.6139 Å, 90.00 90.00 90.00°
Last column: nearest neighbours and their distance in Å.
Space group P4/mmm (No. 123)
One atom of each set of equivalent atoms:
Rb  0.0000  0.5000  0.0000 x2  2 Re 3.36
Zr  0.0000  0.0000  0.5000 x1  8 Rb 4.08
Nb  0.5000  0.5000  0.5000 x1  2 Re 2.31
Re  0.5000  0.5000  0.0000 x1  2 Nb 2.31



Entry 11:
First-principles (PBE-GGA) data for crystalline K2AgPt at its relaxed geometry, as listed in Alexandria via LeMat-Bulk.

Output
As for the volume: 131.5 Å³ per cell. As for the formation enthalpy at 0 K: 0.106 eV/atom.

Cell: 3.2519 4.2557 9.5023 Å, 90.00 90.00 90.00°
Last column: nearest neighbours and their distance in Å.
Space group Pmm2 (No. 25)
One atom of each set of equivalent atoms:
K  0.0000  0.0000  0.0000 x1  1 Pt 3.05, 2 K 3.25
K  0.5000  0.5000  0.4327 x1  1 Ag 3.02, 2 K 3.25
Ag  0.5000  0.5000  0.7508 x1  4 Pt 2.76, 1 K 3.02
Pt  0.0000  0.0000  0.6785 x1  4 Ag 2.76, 1 K 3.05



Entry 12:
First-principles (PBE-GGA) data for crystalline NbHgTe2 at its relaxed geometry, as listed in Alexandria via LeMat-Bulk.

Output
The formation energy (no corrections) comes out at -123 meV/atom. As for the volume: 444.6 Å³ per cell.

Cell: 6.8366 4.4465 14.6259 Å, 90.00 90.00 90.00°
Last column: nearest neighbours and their distance in Å.
Space group Pnma (No. 62)
One atom of each set of equivalent atoms:
Nb  0.0365  0.2500  0.0613 x4  4 Te 2.78-2.85, 2 Nb 2.90, 2 Hg 3.00
Hg  0.2103  0.2500  0.8629 x4  2 Te 2.99, 3 Nb 3.00-3.14
Te  0.1187  0.2500  0.2524 x4  1 Nb 2.85, 2 Hg 2.99
Te  0.2063  0.2500  0.5491 x4  3 Nb 2.78-2.84